[1]
Here is crystalline Dy4MgNi at its relaxed geometry from Alexandria via LeMat-Bulk. Energies are from PBE.

Lattice parameters (Å, degrees): 9.6192 9.6192 9.6192 60.00 60.00 60.00
Last column: nearest neighbours and their distance in Å.
Positions (direct):
Dy (0.1848, 0.1848, 0.8152)  2 Mg 3.28, 2 Ni 3.50, 10 Dy 3.51-3.61
Dy (0.1848, 0.8152, 0.1848)  2 Mg 3.28, 2 Ni 3.50, 10 Dy 3.51-3.61
Dy (0.1848, 0.8152, 0.8152)  2 Mg 3.28, 2 Ni 3.50, 10 Dy 3.51-3.61
Dy (0.4041, 0.4041, 0.4041)  3 Ni 2.78
Dy (0.4041, 0.4041, 0.7876)  3 Ni 2.78
Dy (0.4041, 0.7876, 0.4041)  3 Ni 2.78
Dy (0.5621, 0.5621, 0.9379)  2 Ni 2.80
Dy (0.5621, 0.9379, 0.5621)  2 Ni 2.80
Dy (0.5621, 0.9379, 0.9379)  2 Ni 2.80
Dy (0.7876, 0.4041, 0.4041)  3 Ni 2.78
Dy (0.8152, 0.1848, 0.1848)  2 Mg 3.28, 2 Ni 3.50, 10 Dy 3.51-3.61
Dy (0.8152, 0.1848, 0.8152)  2 Mg 3.28, 2 Ni 3.50, 10 Dy 3.51-3.61
Dy (0.8152, 0.8152, 0.1848)  2 Mg 3.28, 2 Ni 3.50, 10 Dy 3.51-3.61
Dy (0.9379, 0.5621, 0.5621)  2 Ni 2.80
Dy (0.9379, 0.5621, 0.9379)  2 Ni 2.80
Dy (0.9379, 0.9379, 0.5621)  2 Ni 2.80
Mg (0.1704, 0.1704, 0.1704)  3 Mg 3.06, 3 Dy 3.28
Mg (0.1704, 0.1704, 0.4888)  3 Mg 3.06, 3 Dy 3.28
Mg (0.1704, 0.4888, 0.1704)  3 Mg 3.06, 3 Dy 3.28
Mg (0.4888, 0.1704, 0.1704)  3 Mg 3.06, 3 Dy 3.28
Ni (0.1758, 0.6081, 0.6081)  6 Dy 2.78-2.80
Ni (0.6081, 0.1758, 0.6081)  6 Dy 2.78-2.80
Ni (0.6081, 0.6081, 0.1758)  6 Dy 2.78-2.80
Ni (0.6081, 0.6081, 0.6081)  6 Dy 2.78-2.80

theoretical density = 7.7 g/cm³
magnetic moment = 0.00 μB per cell
electronic total energy = -4.502 eV/atom
Fermi-level density of states = 27.45 states/eV per cell
ΔE to the lowest computed polymorph = 0 meV/atom

[2]
Here is crystalline ReGePS2 at its relaxed geometry from Alexandria via LeMat-Bulk. Energies are from PBE.

Lattice parameters (Å, degrees): 4.5152 4.5152 5.0193 90.00 90.00 90.00
Last column: nearest neighbours and their distance in Å.
Positions (direct):
Re (0.0000, 0.0000, 0.0000)  4 S 2.26, 2 P 2.51
Ge (0.5000, 0.5000, 0.5000)  4 P 3.19, 8 S 3.38
P (0.0000, 0.0000, 0.5000)  2 Re 2.51
S (0.0000, 0.5000, 0.0000)  2 Re 2.26
S (0.5000, 0.0000, 0.0000)  2 Re 2.26

theoretical density = 5.7 g/cm³
magnetic moment = 0.00 μB per cell
electronic total energy = -5.594 eV/atom
energy relative to the elements, uncorrected = 0.55 eV/atom
Fermi-level density of states = 4.37 states/eV per cell
ΔE to the lowest computed polymorph = 0 meV/atom

[3]
Here is crystalline ThCu2Au at its relaxed geometry from Alexandria via LeMat-Bulk. Energies are from PBE.

Lattice parameters (Å, degrees): 7.3005 5.3542 5.3542 46.20 90.00 90.00
Last column: nearest neighbours and their distance in Å.
Positions (direct):
Th (0.0000, 0.0000, 0.0000)  7 Cu 2.89-3.19
Th (0.5000, 0.1436, 0.1436)  3 Cu 2.78-3.00, 4 Au 3.09
Cu (0.0000, 0.2988, 0.2988)  2 Cu 2.62, 4 Au 2.73, 2 Th 2.89
Cu (0.3141, 0.4285, 0.4285)  4 Cu 2.59-2.72, 1 Au 2.83
Cu (0.5000, 0.8614, 0.8614)  4 Cu 2.59, 2 Au 2.69, 1 Th 2.78
Cu (0.6859, 0.4285, 0.4285)  4 Cu 2.59-2.72, 1 Au 2.83
Au (0.2004, 0.7030, 0.7030)  4 Cu 2.69-2.83, 1 Au 2.93
Au (0.7996, 0.7030, 0.7030)  4 Cu 2.69-2.83, 1 Au 2.93

theoretical density = 12.2 g/cm³
magnetic moment = 0.00 μB per cell
electronic total energy = -5.083 eV/atom
Fermi-level density of states = 4.85 states/eV per cell
ΔE to the lowest computed polymorph = 0 meV/atom

[4]
Here is crystalline Ca2PbW at its relaxed geometry from Alexandria via LeMat-Bulk. Energies are from PBE.

Lattice parameters (Å, degrees): 3.1390 4.7683 6.6319 90.00 90.10 90.00
Last column: nearest neighbours and their distance in Å.
Positions (direct):
Ca (0.9998, 0.0000, 0.2384)  4 Ca 3.14-3.47, 4 W 3.26, 4 Pb 3.34
Ca (0.0002, 0.0000, 0.7616)  4 Ca 3.14-3.47, 4 W 3.26, 4 Pb 3.34
Pb (0.5000, 0.5000, 0.5000)  2 Pb 3.14, 2 W 3.32, 8 Ca 3.34
W (0.5000, 0.5000, 0.0000)  2 W 3.14, 8 Ca 3.26, 2 Pb 3.32

theoretical density = 7.9 g/cm³
magnetic moment = 0.61 μB per cell
electronic total energy = -4.597 eV/atom
Fermi-level density of states = 4.52 states/eV per cell

[5]
Here is crystalline Tm2ZrPt9 at its relaxed geometry from Alexandria via LeMat-Bulk. Energies are from PBE.

Lattice parameters (Å, degrees): 4.0769 4.0769 12.2351 90.00 90.00 90.00
Last column: nearest neighbours and their distance in Å.
Positions (direct):
Tm (0.0000, 0.0000, 0.1661)  12 Pt 2.88-2.93
Tm (0.0000, 0.0000, 0.8339)  12 Pt 2.88-2.93
Zr (0.0000, 0.0000, 0.5000)  12 Pt 2.85-2.88
Pt (0.0000, 0.5000, 0.0000)  4 Tm 2.88, 8 Pt 2.88-2.90
Pt (0.0000, 0.5000, 0.3377)  2 Zr 2.85, 8 Pt 2.85-2.90, 2 Tm 2.93
Pt (0.0000, 0.5000, 0.6623)  2 Zr 2.85, 8 Pt 2.85-2.90, 2 Tm 2.93
Pt (0.5000, 0.0000, 0.0000)  4 Tm 2.88, 8 Pt 2.88-2.90
Pt (0.5000, 0.0000, 0.3377)  2 Zr 2.85, 8 Pt 2.85-2.90, 2 Tm 2.93
Pt (0.5000, 0.0000, 0.6623)  2 Zr 2.85, 8 Pt 2.85-2.90, 2 Tm 2.93
Pt (0.5000, 0.5000, 0.1689)  4 Tm 2.88, 8 Pt 2.90
Pt (0.5000, 0.5000, 0.5000)  8 Pt 2.85, 4 Zr 2.88
Pt (0.5000, 0.5000, 0.8311)  4 Tm 2.88, 8 Pt 2.90

theoretical density = 17.8 g/cm³
magnetic moment = 0.00 μB per cell
electronic total energy = -7.079 eV/atom
Fermi-level density of states = 7.96 states/eV per cell

[6]
Here is crystalline SrTl2SnSe4 at its relaxed geometry from Alexandria via LeMat-Bulk. Energies are from PBE.

Lattice parameters (Å, degrees): 8.7925 8.7925 8.7925 121.61 118.19 90.19
Last column: nearest neighbours and their distance in Å.
Positions (direct):
Sr (0.0000, 0.0000, 0.0000)  6 Se 3.08-3.09
Sr (0.5000, 0.0000, 0.5000)  6 Se 3.08-3.09
Tl (0.0000, 0.5000, 0.5000)  6 Se 3.15-3.17
Tl (0.5000, 0.0000, 0.0000)  6 Se 3.34-3.40
Tl (0.5000, 0.5000, 0.0000)  6 Se 3.15-3.17
Tl (0.5000, 0.5000, 0.5000)  6 Se 3.34-3.40
Sn (0.0000, 0.0000, 0.5000)  6 Se 2.81-2.90
Sn (0.0000, 0.5000, 0.0000)  6 Se 2.81-2.90
Se (0.2142, 0.2477, 0.9665)  2 Sn 2.90, 1 Sr 3.09, 1 Tl 3.15
Se (0.2188, 0.7523, 0.4665)  2 Sn 2.90, 1 Sr 3.09, 1 Tl 3.15
Se (0.2260, 0.2184, 0.4924)  1 Sn 2.81, 2 Sr 3.08
Se (0.2260, 0.7337, 0.0076)  1 Sn 2.81, 2 Sr 3.08
Se (0.7740, 0.2663, 0.9924)  1 Sn 2.81, 2 Sr 3.08
Se (0.7740, 0.7816, 0.5076)  1 Sn 2.81, 2 Sr 3.08
Se (0.7812, 0.2477, 0.5335)  2 Sn 2.90, 1 Sr 3.09, 1 Tl 3.15
Se (0.7858, 0.7523, 0.0335)  2 Sn 2.90, 1 Sr 3.09, 1 Tl 3.15

theoretical density = 6.4 g/cm³
magnetic moment = 0.00 μB per cell
electronic total energy = -3.776 eV/atom
energy relative to the elements, uncorrected = -0.73 eV/atom
Fermi-level density of states = 10.96 states/eV per cell